# CsLa4Se6, optimized geometry, DFT PBE-GGA
data_CsLa4Se6
_cell_length_a 4.381
_cell_length_b 14.580
_cell_length_c 23.072
_cell_angle_alpha 90.00
_cell_angle_beta 90.00
_cell_angle_gamma 90.00
_symmetry_space_group_name_H-M 'C m c m'
_symmetry_Int_Tables_number 63
_symmetry_space_group_name_Hall '-C 2c 2'
loop_
_atom_site_label
_atom_site_type_symbol
_atom_site_fract_x
_atom_site_fract_y
_atom_site_fract_z
_atom_site_occupancy
Cs1 Cs 0.000 0.152 0.250 1
La1 La 0.000 0.101 0.632 1
La2 La 0.000 0.368 0.541 1
Se1 Se 0.000 0.000 0.000 1
Se2 Se 0.000 0.156 0.750 1
Se3 Se 0.000 0.271 0.079 1
Se4 Se 0.000 0.468 0.649 1
# * crystal system: orthorhombic


# CsLa2Se, optimized geometry, DFT PBE-GGA
data_CsLa2Se
_cell_length_a 6.137
_cell_length_b 6.137
_cell_length_c 21.142
_cell_angle_alpha 90.00
_cell_angle_beta 90.00
_cell_angle_gamma 90.00
_symmetry_space_group_name_H-M 'I 41/a m d'
_symmetry_Int_Tables_number 141
loop_
_symmetry_equiv_pos_as_xyz
'x,y,z'
'-x,-y,-z'
'-y+1/4,x+3/4,z+1/4'
'y+1/4,-x+3/4,-z+1/4'
'-x+1/2,-y,z+1/2'
'x+1/2,y,-z+1/2'
'y+1/4,-x+1/4,z+3/4'
'-y+1/4,x+1/4,-z+3/4'
'x,-y,-z'
'-x,y,z'
'-y+1/4,-x+1/4,-z+3/4'
'y+1/4,x+1/4,z+3/4'
'-x+1/2,y,-z+1/2'
'x+1/2,-y,z+1/2'
'y+1/4,x+3/4,-z+1/4'
'-y+1/4,-x+3/4,z+1/4'
'x+1/2,y+1/2,z+1/2'
'-x+1/2,-y+1/2,-z+1/2'
'-y+3/4,x+1/4,z+3/4'
'y+3/4,-x+1/4,-z+3/4'
'-x,-y+1/2,z'
'x,y+1/2,-z'
'y+3/4,-x+3/4,z+1/4'
'-y+3/4,x+3/4,-z+1/4'
'x+1/2,-y+1/2,-z+1/2'
'-x+1/2,y+1/2,z+1/2'
'-y+3/4,-x+3/4,-z+1/4'
'y+3/4,x+3/4,z+1/4'
'-x,y+1/2,-z'
'x,-y+1/2,z'
'y+3/4,x+1/4,-z+3/4'
'-y+3/4,-x+1/4,z+3/4'
loop_
_atom_site_label
_atom_site_type_symbol
_atom_site_fract_x
_atom_site_fract_y
_atom_site_fract_z
_atom_site_occupancy
Cs1 Cs 0.000 0.250 0.375 1
La1 La 0.000 0.000 0.000 1
Se1 Se 0.000 0.250 0.875 1
# * crystal system: tetragonal


# CsLa3Se, optimized geometry, DFT PBE-GGA
data_CsLa3Se
_cell_length_a 5.838
_cell_length_b 5.838
_cell_length_c 5.838
_cell_angle_alpha 90.00
_cell_angle_beta 90.00
_cell_angle_gamma 90.00
_symmetry_space_group_name_H-M 'P m -3 m'
_symmetry_Int_Tables_number 221
_symmetry_space_group_name_Hall '-P 4 2 3'
loop_
_atom_site_label
_atom_site_type_symbol
_atom_site_fract_x
_atom_site_fract_y
_atom_site_fract_z
_atom_site_occupancy
Cs1 Cs 0.000 0.000 0.000 1
La1 La 0.000 0.000 0.500 1
Se1 Se 0.500 0.500 0.500 1
# * crystal system: cubic


# CsLaSiSe4, optimized geometry, DFT PBE-GGA
data_CsLaSiSe4
_cell_length_a 6.871
_cell_length_b 7.086
_cell_length_c 9.962
_cell_angle_alpha 90.00
_cell_angle_beta 108.43
_cell_angle_gamma 90.00
_symmetry_space_group_name_H-M 'P 1 21/m 1'
_symmetry_Int_Tables_number 11
loop_
_symmetry_equiv_pos_as_xyz
'x,y,z'
'-x,-y,-z'
'-x,y+1/2,-z'
'x,-y+1/2,z'
loop_
_atom_site_label
_atom_site_type_symbol
_atom_site_fract_x
_atom_site_fract_y
_atom_site_fract_z
_atom_site_occupancy
Cs1 Cs 0.235 0.250 0.435 1
La1 La 0.267 0.250 0.952 1
Si1 Si 0.292 0.750 0.171 1
Se1 Se 0.098 0.750 0.318 1
Se2 Se 0.099 0.750 0.937 1
Se3 Se 0.489 0.504 0.791 1
# * crystal system: monoclinic


# Cs3La2SmSe6, optimized geometry, DFT PBE-GGA
data_Cs3La2SmSe6
_cell_length_a 7.708
_cell_length_b 13.350
_cell_length_c 8.770
_cell_angle_alpha 90.00
_cell_angle_beta 107.04
_cell_angle_gamma 90.00
_symmetry_space_group_name_H-M 'C 1 2/m 1'
_symmetry_Int_Tables_number 12
loop_
_symmetry_equiv_pos_as_xyz
'x,y,z'
'-x,-y,-z'
'-x,y,-z'
'x,-y,z'
'x+1/2,y+1/2,z'
'-x+1/2,-y+1/2,-z'
'-x+1/2,y+1/2,-z'
'x+1/2,-y+1/2,z'
loop_
_atom_site_label
_atom_site_type_symbol
_atom_site_fract_x
_atom_site_fract_y
_atom_site_fract_z
_atom_site_occupancy
Cs1 Cs 0.000 0.000 0.000 1
Cs2 Cs 0.000 0.332 0.000 1
La1 La 0.000 0.167 0.500 1
Sm1 Sm 0.000 0.500 0.500 1
Se1 Se 0.227 0.337 0.690 1
Se2 Se 0.237 0.000 0.690 1
# * crystal system: monoclinic


# Cs2LaSmSe4, optimized geometry, DFT PBE-GGA
data_Cs2LaSmSe4
_cell_length_a 7.666
_cell_length_b 4.425
_cell_length_c 8.773
_cell_angle_alpha 90.00
_cell_angle_beta 106.90
_cell_angle_gamma 90.00
_symmetry_space_group_name_H-M 'P 1 2/m 1'
_symmetry_Int_Tables_number 10
loop_
_symmetry_equiv_pos_as_xyz
'x,y,z'
'-x,-y,-z'
'-x,y,-z'
'x,-y,z'
loop_
_atom_site_label
_atom_site_type_symbol
_atom_site_fract_x
_atom_site_fract_y
_atom_site_fract_z
_atom_site_occupancy
Cs1 Cs 0.000 0.000 0.000 1
Cs2 Cs 0.500 0.500 0.000 1
La1 La 0.000 0.500 0.500 1
Sm1 Sm 0.500 0.000 0.500 1
Se1 Se 0.236 0.000 0.690 1
Se2 Se 0.276 0.500 0.311 1
# * crystal system: monoclinic


# Cs2LaSn2Se4, optimized geometry, DFT PBE-GGA
data_Cs2LaSn2Se4
_cell_length_a 19.092
_cell_length_b 4.374
_cell_length_c 8.895
_cell_angle_alpha 90.00
_cell_angle_beta 115.78
_cell_angle_gamma 90.00
_symmetry_space_group_name_H-M 'C 1 2/m 1'
_symmetry_Int_Tables_number 12
loop_
_symmetry_equiv_pos_as_xyz
'x,y,z'
'-x,-y,-z'
'-x,y,-z'
'x,-y,z'
'x+1/2,y+1/2,z'
'-x+1/2,-y+1/2,-z'
'-x+1/2,y+1/2,-z'
'x+1/2,-y+1/2,z'
loop_
_atom_site_label
_atom_site_type_symbol
_atom_site_fract_x
_atom_site_fract_y
_atom_site_fract_z
_atom_site_occupancy
Cs1 Cs 0.125 0.000 0.063 1
La1 La 0.000 0.000 0.500 1
Sn1 Sn 0.185 0.500 0.521 1
Se1 Se 0.026 0.500 0.289 1
Se2 Se 0.174 0.000 0.710 1
# * crystal system: monoclinic


# Cs3La2SnSe6, optimized geometry, DFT PBE-GGA
data_Cs3La2SnSe6
_cell_length_a 7.697
_cell_length_b 13.331
_cell_length_c 8.756
_cell_angle_alpha 90.00
_cell_angle_beta 107.05
_cell_angle_gamma 90.00
_symmetry_space_group_name_H-M 'C 1 2/m 1'
_symmetry_Int_Tables_number 12
loop_
_symmetry_equiv_pos_as_xyz
'x,y,z'
'-x,-y,-z'
'-x,y,-z'
'x,-y,z'
'x+1/2,y+1/2,z'
'-x+1/2,-y+1/2,-z'
'-x+1/2,y+1/2,-z'
'x+1/2,-y+1/2,z'
loop_
_atom_site_label
_atom_site_type_symbol
_atom_site_fract_x
_atom_site_fract_y
_atom_site_fract_z
_atom_site_occupancy
Cs1 Cs 0.000 0.000 0.000 1
Cs2 Cs 0.000 0.333 0.000 1
La1 La 0.000 0.167 0.500 1
Sn1 Sn 0.000 0.500 0.500 1
Se1 Se 0.225 0.338 0.689 1
Se2 Se 0.239 0.000 0.690 1
# * crystal system: monoclinic


# Cs4LaTb3Se8, optimized geometry, DFT PBE-GGA
data_Cs4LaTb3Se8
_cell_length_a 8.6756
_cell_length_b 8.6756
_cell_length_c 25.1572
_cell_angle_alpha 90.00
_cell_angle_beta 90.00
_cell_angle_gamma 120.00
_symmetry_space_group_name_H-M 'R -3 m'
_symmetry_Int_Tables_number 166
_symmetry_space_group_name_Hall '-R 3 2"'
loop_
_atom_site_label
_atom_site_type_symbol
_atom_site_fract_x
_atom_site_fract_y
_atom_site_fract_z
_atom_site_occupancy
Cs1 Cs 0.0000 0.0000 0.0000 1
Cs2 Cs 0.0000 0.5000 0.0000 1
La1 La 0.0000 0.0000 0.5000 1
Tb1 Tb 0.0000 0.5000 0.5000 1
Se1 Se 0.0000 0.0000 0.2284 1
Se2 Se 0.0095 0.5047 0.7707 1
# * crystal system: trigonal


# Cs3La3TbSe8, optimized geometry, DFT PBE-GGA
data_Cs3La3TbSe8
_cell_length_a 15.316
_cell_length_b 8.837
_cell_length_c 9.912
_cell_angle_alpha 90.00
_cell_angle_beta 121.05
_cell_angle_gamma 90.00
_symmetry_space_group_name_H-M 'C 1 2/m 1'
_symmetry_Int_Tables_number 12
loop_
_symmetry_equiv_pos_as_xyz
'x,y,z'
'-x,-y,-z'
'-x,y,-z'
'x,-y,z'
'x+1/2,y+1/2,z'
'-x+1/2,-y+1/2,-z'
'-x+1/2,y+1/2,-z'
'x+1/2,-y+1/2,z'
loop_
_atom_site_label
_atom_site_type_symbol
_atom_site_fract_x
_atom_site_fract_y
_atom_site_fract_z
_atom_site_occupancy
Cs1 Cs 0.000 0.000 0.000 1
Cs2 Cs 0.250 0.250 0.000 1
La1 La 0.000 0.500 0.500 1
La2 La 0.250 0.250 0.500 1
Tb1 Tb 0.000 0.000 0.500 1
Se1 Se 0.019 0.241 0.317 1
Se2 Se 0.222 0.000 0.683 1
Se3 Se 0.230 0.500 0.691 1
# * crystal system: monoclinic


# Cs2LaTbSe4, optimized geometry, DFT PBE-GGA
data_Cs2LaTbSe4
_cell_length_a 7.608
_cell_length_b 4.391
_cell_length_c 8.759
_cell_angle_alpha 90.00
_cell_angle_beta 106.78
_cell_angle_gamma 90.00
_symmetry_space_group_name_H-M 'P 1 2/m 1'
_symmetry_Int_Tables_number 10
loop_
_symmetry_equiv_pos_as_xyz
'x,y,z'
'-x,-y,-z'
'-x,y,-z'
'x,-y,z'
loop_
_atom_site_label
_atom_site_type_symbol
_atom_site_fract_x
_atom_site_fract_y
_atom_site_fract_z
_atom_site_occupancy
Cs1 Cs 0.000 0.000 0.000 1
Cs2 Cs 0.500 0.500 0.000 1
La1 La 0.000 0.500 0.500 1
Tb1 Tb 0.500 0.000 0.500 1
Se1 Se 0.240 0.000 0.690 1
Se2 Se 0.280 0.500 0.313 1
# * crystal system: monoclinic


# Cs2La2Te2Se, optimized geometry, DFT PBE-GGA
data_Cs2La2Te2Se
_cell_length_a 5.718
_cell_length_b 5.718
_cell_length_c 19.097
_cell_angle_alpha 90.00
_cell_angle_beta 90.00
_cell_angle_gamma 90.00
_symmetry_space_group_name_H-M 'I 4/m m m'
_symmetry_Int_Tables_number 139
_symmetry_space_group_name_Hall '-I 4 2'
loop_
_atom_site_label
_atom_site_type_symbol
_atom_site_fract_x
_atom_site_fract_y
_atom_site_fract_z
_atom_site_occupancy
Cs1 Cs 0.000 0.000 0.186 1
La1 La 0.000 0.500 0.000 1
Te1 Te 0.000 0.000 0.393 1
Se1 Se 0.000 0.000 0.000 1
# * crystal system: tetragonal


| no. | formation energy from raw total energies (eV/atom) |
| --- | --- |
| 1 | -1.896 |
| 2 | -0.253 |
| 3 | 0.820 |
| 4 | -1.330 |
| 5 | -1.784 |
| 6 | -1.770 |
| 7 | -1.078 |
| 8 | -1.417 |
| 9 | -1.747 |
| 10 | -1.714 |
| 11 | -1.766 |
| 12 | -1.275 |